Version A
# HgBP3

An optimized crystal structure of HgBP3 (PBE, the Alexandria database).

The structure in CIF format:
```
data_HgBP3
_cell_length_a 4.2586
_cell_length_b 4.2586
_cell_length_c 4.2586
_cell_angle_alpha 90.00
_cell_angle_beta 90.00
_cell_angle_gamma 90.00
_space_group_name_H-M_alt 'P m -3 m'
_space_group_IT_number 221
_space_group_name_Hall '-P 4 2 3'
loop_
_atom_site_label
_atom_site_fract_x
_atom_site_fract_y
_atom_site_fract_z
Hg1 0.0000 0.0000 0.0000
B1 0.5000 0.5000 0.5000
P1 0.0000 0.5000 0.5000
```

Version B
# HgBP3

An optimized crystal structure of HgBP3 (PBE, the Alexandria database).

The structure in CIF format:
```
data_HgBP3
_cell_length_a 5.0168
_cell_length_b 5.0168
_cell_length_c 5.0168
_cell_angle_alpha 90.00
_cell_angle_beta 90.00
_cell_angle_gamma 90.00
_space_group_name_H-M_alt 'P m -3 m'
_space_group_IT_number 221
_space_group_name_Hall '-P 4 2 3'
loop_
_atom_site_label
_atom_site_fract_x
_atom_site_fract_y
_atom_site_fract_z
Hg1 0.0000 0.0000 0.0000
B1 0.5000 0.5000 0.5000
P1 0.0000 0.0000 0.5000
```

version A is the most stable structure; the next one sits 1362 meV per atom above it.

Version A
# Hg3BPb

An optimized crystal structure of Hg3BPb (PBE, the Alexandria database).

The structure in CIF format:
```
data_Hg3BPb
_cell_length_a 4.8649
_cell_length_b 4.8649
_cell_length_c 4.8649
_cell_angle_alpha 90.00
_cell_angle_beta 90.00
_cell_angle_gamma 90.00
_space_group_name_H-M_alt 'P m -3 m'
_space_group_IT_number 221
_space_group_name_Hall '-P 4 2 3'
loop_
_atom_site_label
_atom_site_fract_x
_atom_site_fract_y
_atom_site_fract_z
Hg1 0.0000 0.0000 0.5000
B1 0.0000 0.0000 0.0000
Pb1 0.5000 0.5000 0.5000
```

Version B
# Hg3BPb

An optimized crystal structure of Hg3BPb (PBE, the Alexandria database).

The structure in CIF format:
```
data_Hg3BPb
_cell_length_a 5.9527
_cell_length_b 5.9527
_cell_length_c 5.9527
_cell_angle_alpha 90.00
_cell_angle_beta 90.00
_cell_angle_gamma 90.00
_space_group_name_H-M_alt 'P m -3 m'
_space_group_IT_number 221
_space_group_name_Hall '-P 4 2 3'
loop_
_atom_site_label
_atom_site_fract_x
_atom_site_fract_y
_atom_site_fract_z
Hg1 0.0000 0.0000 0.5000
B1 0.5000 0.5000 0.5000
Pb1 0.0000 0.0000 0.0000
```

version A is the most stable structure; the next one sits 720 meV per atom above it.